No. 1
# Ac2PaIr3

Crystalline Ac2PaIr3 at its relaxed geometry (PBE, the Alexandria database).

Unit cell a=9.3277 b=9.3277 c=9.3277 alpha=153.70 beta=153.70 gamma=37.54
Last column: nearest neighbours and their distance in Å.
Element x y z (fractional)
Ac (0.1644, 0.1644, 0.0000)  5 Ir 2.90-3.01
Ac (0.8356, 0.8356, 0.0000)  5 Ir 2.90-3.01
Pa (0.5000, 0.5000, 0.0000)  2 Ir 2.62
Ir (0.0000, 0.0000, 0.0000)  2 Ac 2.90, 4 Pa 3.00
Ir (0.3515, 0.3515, 0.0000)  1 Pa 2.62
Ir (0.6485, 0.6485, 0.0000)  1 Pa 2.62

Computed properties:
calculated formation energy = -592 meV per atom
total moment = 0.000 μB/f.u.

No. 2
# Sm5Au3

Crystalline Sm5Au3 at its relaxed geometry (PBE, the Alexandria database).

Unit cell a=9.4497 b=9.4497 c=9.4497 alpha=133.02 beta=133.02 gamma=68.62
Last column: nearest neighbours and their distance in Å.
Element x y z (fractional)
Sm (0.0000, 0.0000, 0.0000)  4 Au 2.94
Sm (0.0157, 0.5157, 0.8334)  5 Au 3.17-3.28, 1 Sm 3.55
Sm (0.1824, 0.0157, 0.5000)  5 Au 3.17-3.28, 1 Sm 3.55
Sm (0.3176, 0.8176, 0.8334)  5 Au 3.17-3.28, 1 Sm 3.55
Sm (0.4843, 0.3176, 0.5000)  5 Au 3.17-3.28, 1 Sm 3.55
Sm (0.5000, 0.5000, 0.0000)  4 Au 2.94
Sm (0.5157, 0.6824, 0.5000)  5 Au 3.17-3.28, 1 Sm 3.55
Sm (0.6824, 0.1824, 0.1666)  5 Au 3.17-3.28, 1 Sm 3.55
Sm (0.8176, 0.9843, 0.5000)  5 Au 3.17-3.28, 1 Sm 3.55
Sm (0.9843, 0.4843, 0.1666)  5 Au 3.17-3.28, 1 Sm 3.55
Au (0.1338, 0.3662, 0.5000)  1 Au 2.85, 4 Sm 2.94-3.17
Au (0.2500, 0.2500, 0.0000)  8 Sm 3.20
Au (0.3662, 0.8662, 0.2324)  1 Au 2.85, 4 Sm 2.94-3.17
Au (0.6338, 0.1338, 0.7676)  1 Au 2.85, 4 Sm 2.94-3.17
Au (0.7500, 0.7500, 0.0000)  8 Sm 3.20
Au (0.8662, 0.6338, 0.5000)  1 Au 2.85, 4 Sm 2.94-3.17

Computed properties:
calculated formation energy = -581 meV per atom
total moment = 0.001 μB/f.u.

No. 3
# SrLiTl2Hg

Crystalline SrLiTl2Hg at its relaxed geometry (PBE, the Alexandria database).

Unit cell a=5.2164 b=5.2164 c=5.1453 alpha=90.00 beta=90.00 gamma=90.00
Last column: nearest neighbours and their distance in Å.
Element x y z (fractional)
Sr (0.0000, 0.0000, 0.0000)  8 Tl 3.66, 4 Hg 3.69
Li (0.5000, 0.5000, 0.5000)  2 Hg 2.57, 4 Tl 2.61
Tl (0.0000, 0.5000, 0.5000)  2 Li 2.61
Tl (0.5000, 0.0000, 0.5000)  2 Li 2.61
Hg (0.5000, 0.5000, 0.0000)  2 Li 2.57

Computed properties:
calculated formation energy = -219 meV per atom
total moment = 0.000 μB/f.u.

No. 4
# MnIrPt2

Crystalline MnIrPt2 at its relaxed geometry (PBE, the Alexandria database).

Unit cell a=5.3913 b=5.3913 c=5.3913 alpha=150.13 beta=128.85 gamma=60.37
Last column: nearest neighbours and their distance in Å.
Element x y z (fractional)
Mn (0.0000, 0.0000, 0.0000)  2 Ir 2.55, 6 Pt 2.64-2.71, 2 Mn 2.78
Ir (0.7701, 0.2701, 0.5000)  2 Mn 2.55, 6 Pt 2.72-2.80, 2 Ir 2.78
Pt (0.2409, 0.7409, 0.5000)  2 Mn 2.64, 4 Ir 2.72, 4 Pt 2.78-2.87
Pt (0.5098, 0.5098, 0.0000)  4 Mn 2.71, 4 Pt 2.78-2.87, 2 Ir 2.80

Computed properties:
calculated formation energy = -45 meV per atom
total moment = 3.574 μB/f.u.

No. 5
# HfAlAu

Crystalline HfAlAu at its relaxed geometry (PBE, the Alexandria database).

Unit cell a=4.6296 b=3.0927 c=7.6719 alpha=90.00 beta=90.00 gamma=90.00
Last column: nearest neighbours and their distance in Å.
Element x y z (fractional)
Hf (0.2500, 0.0000, 0.2484)  6 Al 2.93-3.08, 6 Au 3.03-3.09, 2 Hf 3.09
Hf (0.7500, 0.0000, 0.7516)  6 Al 2.93-3.08, 6 Au 3.03-3.09, 2 Hf 3.09
Al (0.2500, 0.5000, 0.9242)  1 Au 2.51, 2 Al 2.59
Al (0.7500, 0.5000, 0.0758)  1 Au 2.51, 2 Al 2.59
Au (0.2500, 0.5000, 0.5968)  1 Al 2.51, 2 Au 2.75
Au (0.7500, 0.5000, 0.4032)  1 Al 2.51, 2 Au 2.75

Computed properties:
calculated formation energy = -484 meV per atom
total moment = 0.000 μB/f.u.

No. 6
# SmEuTlCd

Crystalline SmEuTlCd at its relaxed geometry (PBE, the Alexandria database).

Unit cell a=5.5090 b=5.5090 c=5.5090 alpha=60.00 beta=60.00 gamma=60.00
Last column: nearest neighbours and their distance in Å.
Element x y z (fractional)
Sm (0.0000, 0.0000, 0.0000)  4 Tl 3.37, 4 Cd 3.37
Eu (0.5000, 0.5000, 0.5000)  4 Tl 3.37, 4 Cd 3.37
Tl (0.7500, 0.7500, 0.7500)  4 Sm 3.37, 4 Eu 3.37
Cd (0.2500, 0.2500, 0.2500)  4 Sm 3.37, 4 Eu 3.37

Computed properties:
calculated formation energy = -364 meV per atom
total moment = 7.353 μB/f.u.

No. 7
# SbPS3

Crystalline SbPS3 at its relaxed geometry (PBE, the Alexandria database).

Unit cell a=4.9734 b=4.9734 c=4.9734 alpha=90.00 beta=90.00 gamma=90.00
Last column: nearest neighbours and their distance in Å.
Element x y z (fractional)
Sb (0.0000, 0.0000, 0.0000)  6 S 2.49
P (0.5000, 0.5000, 0.5000)  12 S 3.52
S (0.0000, 0.0000, 0.5000)  2 Sb 2.49
S (0.0000, 0.5000, 0.0000)  2 Sb 2.49
S (0.5000, 0.0000, 0.0000)  2 Sb 2.49

Computed properties:
E above lowest polymorph = 1.131 eV per atom
raw formation energy = 98 kJ per mole of atoms
total moment = 0.684 μB/f.u.

No. 8
# CaPrDy4

Crystalline CaPrDy4 at its relaxed geometry (PBE, the Alexandria database).

Unit cell a=6.2736 b=6.2736 c=10.2489 alpha=114.12 beta=114.12 gamma=33.43
Last column: nearest neighbours and their distance in Å.
Element x y z (fractional)
Ca (0.0000, 0.0000, 0.0000)  10 Dy 3.59-3.69, 2 Ca 3.61
Pr (0.0000, 0.0000, 0.5000)  10 Dy 3.58-3.61, 2 Pr 3.61
Dy (0.3304, 0.3304, 0.1731)  2 Pr 3.58, 7 Dy 3.59-3.70, 3 Ca 3.59-3.69
Dy (0.3318, 0.3318, 0.6593)  7 Dy 3.51-3.67, 3 Pr 3.58-3.61, 2 Ca 3.68
Dy (0.6682, 0.6682, 0.3407)  7 Dy 3.51-3.67, 3 Pr 3.58-3.61, 2 Ca 3.68
Dy (0.6696, 0.6696, 0.8269)  2 Pr 3.58, 7 Dy 3.59-3.70, 3 Ca 3.59-3.69

Computed properties:
E above lowest polymorph = 0.000 eV per atom
calculated formation energy = 68 meV per atom
total moment = 0.000 μB/f.u.

No. 9
# K3Al2Sb3

Crystalline K3Al2Sb3 at its relaxed geometry (PBE, the Alexandria database).

Unit cell a=7.7674 b=7.7674 c=15.7823 alpha=90.00 beta=90.00 gamma=145.70
Last column: nearest neighbours and their distance in Å.
Element x y z (fractional)
K (0.0602, 0.9398, 0.6119)  6 Sb 3.57-3.93, 2 Al 3.73, 1 K 3.96
K (0.0602, 0.9398, 0.8881)  6 Sb 3.57-3.93, 2 Al 3.73, 1 K 3.96
K (0.3464, 0.6536, 0.7500)  4 Sb 3.23-3.46
K (0.6536, 0.3464, 0.2500)  4 Sb 3.23-3.46
K (0.9398, 0.0602, 0.1119)  6 Sb 3.57-3.93, 2 Al 3.73, 1 K 3.96
K (0.9398, 0.0602, 0.3881)  6 Sb 3.57-3.93, 2 Al 3.73, 1 K 3.96
Al (0.2425, 0.7575, 0.0929)  4 Sb 2.77-2.82
Al (0.2425, 0.7575, 0.4071)  4 Sb 2.77-2.82
Al (0.7575, 0.2425, 0.5929)  4 Sb 2.77-2.82
Al (0.7575, 0.2425, 0.9071)  4 Sb 2.77-2.82
Sb (0.3284, 0.6716, 0.2500)  2 Al 2.79
Sb (0.3566, 0.6434, 0.5458)  3 Al 2.77-2.82
Sb (0.3566, 0.6434, 0.9542)  3 Al 2.77-2.82
Sb (0.6434, 0.3566, 0.0458)  3 Al 2.77-2.82
Sb (0.6434, 0.3566, 0.4542)  3 Al 2.77-2.82
Sb (0.6716, 0.3284, 0.7500)  2 Al 2.79

Computed properties:
raw formation energy = -34 kJ per mole of atoms
total moment = 0.000 μB/f.u.

No. 10
# K3ScNi

Crystalline K3ScNi at its relaxed geometry (PBE, the Alexandria database).

Unit cell a=6.1565 b=6.1565 c=6.1565 alpha=90.00 beta=90.00 gamma=90.00
Last column: nearest neighbours and their distance in Å.
Element x y z (fractional)
K (0.0000, 0.0000, 0.5000)  2 Ni 3.08
K (0.0000, 0.5000, 0.0000)  2 Ni 3.08
K (0.5000, 0.0000, 0.0000)  2 Ni 3.08
Sc (0.5000, 0.5000, 0.5000)  12 K 4.35
Ni (0.0000, 0.0000, 0.0000)  6 K 3.08

Computed properties:
calculated formation energy = 946 meV per atom
total moment = 1.971 μB/f.u.

No. 11
# NpNbIn

Crystalline NpNbIn at its relaxed geometry (PBE, the Alexandria database).

Unit cell a=7.7269 b=7.7269 c=7.7269 alpha=158.08 beta=158.08 gamma=31.19
Last column: nearest neighbours and their distance in Å.
Element x y z (fractional)
Np (0.0000, 0.0000, 0.0000)  4 Np 2.94, 4 Nb 3.21
Nb (0.3355, 0.3355, 0.0000)  4 Nb 2.94, 4 In 3.11, 4 Np 3.21
In (0.6799, 0.6799, 0.0000)  4 In 2.94, 4 Nb 3.11

Computed properties:
calculated formation energy = 242 meV per atom
total moment = 3.586 μB/f.u.

No. 12
# Zn2NO

Crystalline Zn2NO at its relaxed geometry (PBE, the Alexandria database).

Unit cell a=5.5928 b=5.5928 c=5.5928 alpha=130.68 beta=130.68 gamma=72.33
Last column: nearest neighbours and their distance in Å.
Element x y z (fractional)
Zn (0.1176, 0.6250, 0.9926)  2 N 1.98, 2 O 2.02
Zn (0.3750, 0.3676, 0.4926)  2 N 1.98, 2 O 2.02
Zn (0.6324, 0.1250, 0.0074)  2 N 1.98, 2 O 2.02
Zn (0.8750, 0.8824, 0.5074)  2 N 1.98, 2 O 2.02
N (0.0000, 0.0000, 0.0000)  4 Zn 1.98
N (0.7500, 0.2500, 0.5000)  4 Zn 1.98
O (0.2500, 0.7500, 0.5000)  4 Zn 2.02
O (0.5000, 0.5000, 0.0000)  4 Zn 2.02

Computed properties:
E above lowest polymorph = 0.000 eV per atom
raw formation energy = -36 kJ per mole of atoms
total moment = 0.569 μB/f.u.